# 1
The following is a DFT calculation (PBE) of crystalline Sc3Cl at its relaxed geometry.

Lattice parameters (Å, degrees): 5.4612 5.4612 3.2920 90.00 90.00 112.74
Last column: nearest neighbours and their distance in Å.
Element x y z (fractional)
1 Sc 0.5000 0.0000 0.5000  8 Sc 3.02-3.29, 4 Cl 3.19
2 Sc 0.0000 0.5000 0.5000  8 Sc 3.02-3.29, 4 Cl 3.19
3 Sc 0.5000 0.5000 0.0000  2 Cl 3.02, 10 Sc 3.19-3.29
4 Cl 0.0000 0.0000 0.0000  10 Sc 3.02-3.19, 2 Cl 3.29

Space-group type: Cmmm (65)
Total DFT energy (no corrections) in hartree per atom: -0.1975

=====

# 2
The following is a DFT calculation (PBE) of crystalline Sc3Cl at its relaxed geometry.

Lattice parameters (Å, degrees): 5.1210 5.1210 5.1210 60.00 60.00 60.00
Last column: nearest neighbours and their distance in Å.
Element x y z (fractional)
1 Cl 0.0000 0.0000 0.0000  8 Sc 3.14
2 Sc 0.5000 0.5000 0.5000  8 Sc 3.14
3 Sc 0.2500 0.2500 0.2500  4 Sc 3.14, 4 Cl 3.14
4 Sc 0.7500 0.7500 0.7500  4 Sc 3.14, 4 Cl 3.14

Space-group type: Fm-3m (225)
Total DFT energy (no corrections) in hartree per atom: -0.1831

=====

no.,raw formation energy (meV per atom),theoretical density (Mg/m³)
1,-164,3.123
2,228,2.978